Entry 1:
RhSeBr2 after structural relaxation, computed with PBEsol.

Unit cell a=3.565 b=5.145 c=6.653 alpha=112.75 beta=105.54 gamma=90.00
Fractional coordinates of all 4 atoms:
Br1 0.058 0.058 0.116
Br2 0.836 0.336 0.673
Rh1 0.488 0.488 0.976
Se1 0.118 0.618 0.235

Computed properties:
Formation energy without anion corrections (eV/atom): -0.003
Excess energy over the best structure of this formula in the dataset (eV/f.u.): 0.80



Entry 2:
GaNi2H2 after structural relaxation, computed with PBEsol.

Unit cell a=2.987 b=2.987 c=4.900 alpha=107.75 beta=107.75 gamma=90.00
Fractional coordinates of all 5 atoms:
Ni1 0.349 0.349 0.698
Ni2 0.651 0.651 0.302
Ga1 0.000 0.000 0.000
H1 0.250 0.750 0.500
H2 0.750 0.250 0.500

Computed properties:
Uncorrected energy (eV/atom): -4.64



Number 1: M_tot 0.02 μB/f.u.. Number 2: M_tot 0.00 μB/f.u..